Density functional theory data (PBE) for a relaxed BeGa2SiBr crystal.

The structure in POSCAR format:
```
BeGa2SiBr
1.0
-2.882 4.103 1.324
-1.261 -1.997 3.441
4.016 1.976 2.619
Ga Be Br Si
2 1 1 1
direct
0.500 0.000 0.000 Ga
0.000 0.000 0.500 Ga
0.000 0.500 0.000 Be
0.500 0.500 0.500 Br
0.000 0.000 0.000 Si
```

- V: 22.45 Å³/atom
- ΔE_f (raw): 0.24 eV/atom